[1]
VASP calculation (PBE-GGA) on crystalline LiGa4Ni3 at its relaxed geometry.

Unit cell a=7.207 b=7.207 c=7.207 alpha=33.50 beta=33.50 gamma=33.50
Fractional coordinates of all 8 atoms:
Li (0.000, 0.000, 0.000)
Ga (0.127, 0.127, 0.127)
Ga (0.377, 0.377, 0.377)
Ga (0.623, 0.623, 0.623)
Ga (0.873, 0.873, 0.873)
Ni (0.252, 0.252, 0.252)
Ni (0.500, 0.500, 0.500)
Ni (0.748, 0.748, 0.748)

As for the calculated formation energy: -0.357 eV per atom. As for the density of states at the Fermi level: 0.44 states/eV per atom. As for the symmetry: R-3m (166).

***

[2]
VASP calculation (PBE-GGA) on crystalline Li5Ga2Ni at its relaxed geometry.

Unit cell a=6.604 b=12.022 c=2.991 alpha=90.00 beta=90.00 gamma=90.00
Fractional coordinates of all 16 atoms:
Li (0.000, 0.000, 0.000)
Li (0.018, 0.238, 0.000)
Li (0.224, 0.381, 0.500)
Li (0.276, 0.881, 0.500)
Li (0.482, 0.738, 0.000)
Li (0.500, 0.500, 0.000)
Li (0.518, 0.262, 0.000)
Li (0.724, 0.119, 0.500)
Li (0.776, 0.619, 0.500)
Li (0.982, 0.762, 0.000)
Ga (0.213, 0.616, 0.500)
Ga (0.287, 0.116, 0.500)
Ga (0.713, 0.884, 0.500)
Ga (0.787, 0.384, 0.500)
Ni (0.000, 0.500, 0.000)
Ni (0.500, 0.000, 0.000)

As for the calculated formation energy: -0.215 eV per atom. As for the density of states at the Fermi level: 0.41 states/eV per atom. As for the energy above the most stable polymorph in this dataset: 11 meV/atom. As for the symmetry: Pbam (55).

***

[3]
VASP calculation (PBE-GGA) on crystalline LiGaNi14 at its relaxed geometry.

Unit cell a=8.173 b=4.985 c=4.985 alpha=60.33 beta=90.00 gamma=90.00
Fractional coordinates of all 16 atoms:
Li (0.000, 0.000, 0.000)
Ga (0.000, 0.501, 0.501)
Ni (0.000, 0.500, 0.999)
Ni (0.000, 0.999, 0.500)
Ni (0.249, 0.331, 0.331)
Ni (0.251, 0.832, 0.832)
Ni (0.252, 0.332, 0.833)
Ni (0.252, 0.833, 0.332)
Ni (0.500, 0.165, 0.165)
Ni (0.500, 0.165, 0.664)
Ni (0.500, 0.664, 0.165)
Ni (0.500, 0.665, 0.665)
Ni (0.748, 0.332, 0.833)
Ni (0.748, 0.833, 0.332)
Ni (0.749, 0.832, 0.832)
Ni (0.751, 0.331, 0.331)

As for the calculated formation energy: -0.060 eV per atom. As for the density of states at the Fermi level: 1.45 states/eV per atom. As for the symmetry: Amm2 (38).